The following is a PBE-GGA calculation of SrTe2Ru after structural relaxation, from the Alexandria database.

Summary:
- energy (eV/cell) = -17.94
- E_form (uncorrected) (eV per formula unit) = -0.70
- DOS at the Fermi energy (states/eV/cell) = 6.168

```
SrTe2Ru
1.0
2.009 1.160 9.347
-2.009 1.160 9.347
0.000 -2.320 9.347
Sr Te Ru
1 2 1
direct
0.000 0.000 0.000
0.118 0.118 0.118
0.882 0.882 0.882
0.500 0.500 0.500
```